Entry 1:
The following is a PBE calculation of CaRuCl after structural relaxation, from Alexandria.

Properties
The energy is -13.44 eV per formula unit. For the density of states at the Fermi level, the calculation gives 2.49 states/eV/f.u. As for the uncorrected formation energy: -0.104 eV per atom. For the polymorph energy (0 for the lowest one), the calculation gives 0.000 eV per atom.

CIF file:
```
data_CaRuCl
_chemical_formula_sum 'Ca1 Ru1 Cl1'
_space_group_name_H-M_alt 'P -6 m 2'
_space_group_IT_number 187
_space_group_name_Hall 'P -6 2'
_cell_length_a 4.2929
_cell_length_b 4.2929
_cell_length_c 3.5347
_cell_angle_alpha 90.00
_cell_angle_beta 90.00
_cell_angle_gamma 120.00
loop_
_atom_site_label
_atom_site_type_symbol
_atom_site_fract_x
_atom_site_fract_y
_atom_site_fract_z
Ca1 Ca 0.0000 0.0000 0.0000
Ru1 Ru 0.6667 0.3333 0.5000
Cl1 Cl 0.3333 0.6667 0.5000
```

***

Entry 2:
The following is a PBE calculation of CaRuCl2 after structural relaxation, from Alexandria.

Properties
The energy is -17.43 eV per formula unit. For the density of states at the Fermi level, the calculation gives 1.58 states/eV/f.u. As for the uncorrected formation energy: -0.615 eV per atom. For the polymorph energy (0 for the lowest one), the calculation gives 0.132 eV per atom.

CIF file:
```
data_CaRuCl2
_chemical_formula_sum 'Ca2 Ru2 Cl4'
_space_group_name_H-M_alt 'C 1 m 1'
_space_group_IT_number 8
_cell_length_a 10.767
_cell_length_b 3.374
_cell_length_c 5.277
_cell_angle_alpha 90.00
_cell_angle_beta 93.60
_cell_angle_gamma 90.00
loop_
_space_group_symop_operation_xyz
'x,y,z'
'x,-y,z'
'x+1/2,y+1/2,z'
'x+1/2,-y+1/2,z'
loop_
_atom_site_label
_atom_site_type_symbol
_atom_site_fract_x
_atom_site_fract_y
_atom_site_fract_z
Ca1 Ca 0.000 0.000 0.000
Ru1 Ru 0.169 0.500 0.735
Cl1 Cl 0.000 0.500 0.428
Cl2 Cl 0.271 0.000 0.966
```

***

Entry 3:
The following is a PBE calculation of CaRuCl after structural relaxation, from Alexandria.

Properties
The energy is -13.36 eV per formula unit. For the density of states at the Fermi level, the calculation gives 2.16 states/eV/f.u. As for the uncorrected formation energy: -0.078 eV per atom. For the polymorph energy (0 for the lowest one), the calculation gives 0.026 eV per atom.

CIF file:
```
data_CaRuCl
_chemical_formula_sum 'Ca4 Ru4 Cl4'
_space_group_name_H-M_alt 'F m m 2'
_space_group_IT_number 42
_space_group_name_Hall 'F 2 -2'
_cell_length_a 4.454
_cell_length_b 4.463
_cell_length_c 13.061
_cell_angle_alpha 90.00
_cell_angle_beta 90.00
_cell_angle_gamma 90.00
loop_
_atom_site_label
_atom_site_type_symbol
_atom_site_fract_x
_atom_site_fract_y
_atom_site_fract_z
Ca1 Ca 0.000 0.000 0.000
Ru1 Ru 0.000 0.000 0.668
Cl1 Cl 0.000 0.000 0.370
```